# 1
8
Lattice="-3.522 3.522 7.063 3.522 -3.522 7.063 3.522 3.522 -7.063" Properties=species:S:1:pos:R:3 comment="K3GaI4 PBE optimized geometry" spacegroup="I4/mmm, No. 139" pbc="T T T"
K 0.000 0.000 0.000
K 3.522 0.000 3.531
K 0.000 3.522 3.531
Ga 0.000 0.000 7.063
I 3.522 0.000 0.000
I 0.000 0.000 3.687
I 0.000 3.522 0.000
I 0.000 0.000 10.439

---

# 2
24
Lattice="8.419 0.000 0.000 0.000 8.347 0.000 -1.668 0.000 16.558" Properties=species:S:1:pos:R:3 comment="KGaI4 PBE optimized geometry" spacegroup="P2_1/c, No. 14" pbc="T T T"
K 1.784 0.046 2.352
K 0.949 4.127 10.631
K 5.801 4.219 5.926
K 4.967 8.301 14.205
Ga 0.707 1.194 14.251
Ga 1.541 2.979 5.972
Ga 5.210 5.368 10.585
Ga 6.044 7.152 2.307
I -0.129 2.056 7.727
I -0.964 2.118 16.005
I -0.515 0.931 11.978
I 0.319 3.242 3.699
I 2.372 5.310 6.757
I 1.538 7.210 15.036
I 3.527 1.345 5.652
I 2.693 2.828 13.931
I 4.058 5.518 2.627
I 3.224 7.002 10.906
I 5.213 1.136 1.522
I 4.379 3.037 9.800
I 6.432 5.105 12.859
I 7.266 7.415 4.580
I 7.714 6.229 0.552
I 6.880 6.291 8.831

---

| no. | formation energy (no corrections) (eV per atom) | offset from the most stable computed form (eV/f.u.) |
| --- | --- | --- |
| 1 | -1.188 | 0.00 |
| 2 | -0.863 | 0.00 |